No. 1
DFT (GGA-PBE) results for a relaxed structure of CsZnNi.

Geometry as POSCAR:
```
CsZnNi
1.0
4.130 0.000 -0.001
0.000 5.036 0.000
-0.119 0.000 10.727
Cs Zn Ni
2 2 2
direct
0.039 0.500 0.719 Cs
0.549 0.000 0.177 Cs
0.530 0.500 0.427 Zn
0.532 0.000 0.493 Zn
0.030 0.754 0.442 Ni
0.030 0.246 0.442 Ni
```

Output
The value obtained for the polymorph energy (0 for the lowest one) is 1.8 kJ per mole of atoms. The crystal system is monoclinic.

No. 2
DFT (GGA-PBE) results for a relaxed structure of CsZn2Ni2.

Geometry as POSCAR:
```
CsZn2Ni2
1.0
-1.264 2.707 3.038
0.002 -3.181 2.835
4.627 0.851 4.154
Ni Zn Cs
2 2 1
direct
0.375 0.375 0.250 Ni
0.625 0.625 0.750 Ni
0.750 0.250 0.500 Zn
0.250 0.750 0.500 Zn
0.000 0.000 0.000 Cs
```

Output
The crystal system is tetragonal.

No. 3
DFT (GGA-PBE) results for a relaxed structure of CsZnNi.

Geometry as POSCAR:
```
CsZnNi
1.0
-2.319 4.242 -0.707
-2.426 1.873 3.805
8.216 6.169 3.512
Zn Ni Cs
2 2 2
direct
0.250 0.250 0.500 Zn
0.750 0.750 0.500 Zn
0.248 0.748 0.514 Ni
0.752 0.252 0.486 Ni
0.283 0.792 0.228 Cs
0.717 0.208 0.772 Cs
```

Output
The value obtained for the polymorph energy (0 for the lowest one) is 0.0 kJ per mole of atoms. The crystal system is triclinic.

| no. | energy (Ry per atom) |
| --- | --- |
| 1 | -0.188 |
| 2 | -0.191 |
| 3 | -0.189 |